A plane-wave DFT calculation with GGA-PBEsol was carried out for an optimized crystal structure of Ba2Ge3.

a = 4.081 Å, b = 6.521 Å, c = 6.521 Å
α = 76.95°, β = 71.76°, γ = 71.76°
Positions (direct):
Ge 0.000 0.343 0.657
Ge 0.000 0.645 0.355
Ba 0.233 0.781 0.753
Ge 0.500 0.819 0.181
Ba 0.767 0.247 0.219

Computed properties:
Calculated density: 5.28 g/cm³
E_form: -0.48 eV per atom
Total DFT energy (no corrections): -0.31598 Ry/atom